No. 1
This record from Alexandria describes a relaxed Tb2PrHf crystal. The functional is PBE.

Cell: 4.002 4.002 7.555 Å, 90.00 90.00 90.00°
Atoms (fractional coordinates):
Pr 0.500 0.500 0.500
Tb 0.000 0.000 0.786
Tb 0.000 0.000 0.214
Hf 0.500 0.500 0.000

Computed properties:
Total magnetization ... 0.00 μB/f.u.
Space group ... No. 123
Energy of formation from the pure elements ... 5.3 kcal/mol of atoms
Theoretical density ... 8.74 g/cm3


No. 2
This record from Alexandria describes a relaxed Re2SeBr crystal. The functional is PBE.

Cell: 3.026 5.254 5.368 Å, 49.25 90.00 90.00°
Atoms (fractional coordinates):
Br 0.000 0.000 0.500
Re 0.000 0.000 0.000
Re 0.500 0.500 0.000
Se 0.500 0.500 0.500

Computed properties:
Total magnetization ... 0.00 μB/f.u.
Energy relative to the elements, uncorrected ... 998 meV per atom
Space group ... No. 10
Theoretical density ... 13.65 g/cm3


No. 3
This record from Alexandria describes a relaxed Al3TlCl crystal. The functional is PBE.

Cell: 5.164 5.164 5.164 Å, 90.00 90.00 90.00°
Atoms (fractional coordinates):
Tl 0.500 0.500 0.500
Al 0.000 0.500 0.000
Al 0.000 0.000 0.500
Al 0.500 0.000 0.000
Cl 0.000 0.000 0.000

Computed properties:
Total magnetization ... 0.00 μB/f.u.
Energy relative to the elements, uncorrected ... 549 meV per atom
Space group ... No. 221
Theoretical density ... 3.87 g/cm3


No. 4
This record from Alexandria describes a relaxed PmNd2SmY crystal. The functional is PBE.

Cell: 6.811 8.193 6.284 Å, 90.20 90.00 90.00°
Atoms (fractional coordinates):
Pm 0.000 0.000 0.000
Pm 0.000 0.000 0.500
Nd 0.694 0.696 0.751
Nd 0.694 0.304 0.749
Nd 0.306 0.696 0.251
Nd 0.306 0.304 0.249
Sm 0.580 0.000 0.250
Sm 0.420 0.000 0.750
Y 0.160 0.500 0.750
Y 0.840 0.500 0.250

Computed properties:
Total magnetization ... 0.00 μB/f.u.
Space group ... No. 13
Energy of formation from the pure elements ... 5.7 kcal/mol of atoms
Theoretical density ... 6.37 g/cm3


Question: total magnetization of number 1 (Tb2PrHf)?
Answer: 0.00 μB/f.u.


Question: Which formula does entry 2 have?
Answer: Re2SeBr


Question: The lowest theoretical density belongs to which entry?
Answer: Al3TlCl